SmTm2Ge after structural relaxation, computed with PBE-GGA.

Properties
Formation enthalpy at 0 K   -5.3 kcal/mol of atoms
N(E_F)   1.1170 states/eV per atom
M_tot   0.0 Bohr magnetons per cell

Lattice parameters (Å, degrees): 3.615 3.615 10.183 79.78 79.78 60.00
Element x y z (fractional)
Ge: 0.000 0.000 0.000
Tm: 0.266 0.266 0.202
Tm: 0.734 0.734 0.798
Sm: 0.500 0.500 0.500


U3Ge3Rh2 after structural relaxation, computed with PBE-GGA.

Properties
Formation enthalpy at 0 K   -10.8 kcal/mol of atoms
N(E_F)   1.3562 states/eV per atom
M_tot   7.0 Bohr magnetons per cell

Lattice parameters (Å, degrees): 4.657 5.308 13.637 90.00 90.00 116.02
Each line ends with the local moment (μB).
Element x y z (fractional)
U: 0.908 0.817 0.380  1.26
U: 0.092 0.183 0.880  1.26
U: 0.908 0.817 0.120  1.26
U: 0.092 0.183 0.620  1.26
U: 0.705 0.410 0.250  0.93
U: 0.295 0.590 0.750  0.93
Ge: 0.621 0.241 0.463  -0.02
Ge: 0.379 0.759 0.963  -0.02
Ge: 0.621 0.241 0.037  -0.02
Ge: 0.379 0.759 0.537  -0.02
Ge: 0.392 0.784 0.250  -0.03
Ge: 0.608 0.216 0.750  -0.03
Rh: 0.810 0.621 0.895  -0.04
Rh: 0.190 0.379 0.395  -0.04
Rh: 0.810 0.621 0.605  -0.04
Rh: 0.190 0.379 0.105  -0.04


Rb2ThF6 after structural relaxation, computed with PBE-GGA.

Properties
Formation energy from raw total energies   -3570 meV/atom
N(E_F)   0.0000 states/eV per atom
M_tot   0.0 Bohr magnetons per cell

Lattice parameters (Å, degrees): 5.998 5.998 12.479 90.00 90.00 90.00
Element x y z (fractional)
Rb: 0.500 0.500 0.336
Rb: 0.500 0.500 0.664
Rb: 0.000 0.000 0.164
Rb: 0.000 0.000 0.836
Th: 0.500 0.500 0.000
Th: 0.000 0.000 0.500
F: 0.675 0.675 0.135
F: 0.675 0.675 0.865
F: 0.735 0.735 0.500
F: 0.765 0.235 0.000
F: 0.825 0.175 0.365
F: 0.825 0.175 0.635
F: 0.175 0.825 0.365
F: 0.175 0.825 0.635
F: 0.235 0.765 0.000
F: 0.265 0.265 0.500
F: 0.325 0.325 0.135
F: 0.325 0.325 0.865


ZrZn2 after structural relaxation, computed with PBE-GGA.

Properties
Formation enthalpy at 0 K   7.5 kcal/mol of atoms
N(E_F)   0.7304 states/eV per atom
M_tot   0.0 Bohr magnetons per cell

Lattice parameters (Å, degrees): 4.486 4.486 4.486 60.00 60.00 60.00
Element x y z (fractional)
Zn: 0.750 0.750 0.750
Zn: 0.250 0.250 0.250
Zr: 0.000 0.000 0.000


ZnNiTeN2 after structural relaxation, computed with PBE-GGA.

Properties
Formation energy from raw total energies   1127 meV/atom
N(E_F)   0.5411 states/eV per atom
Energy above the lowest structure with this stoichiometry   0.000 eV/atom
M_tot   3.6 Bohr magnetons per cell

Lattice parameters (Å, degrees): 3.782 3.782 5.721 90.00 90.00 90.00
Each line ends with the local moment (μB).
Element x y z (fractional)
Ni: 0.000 0.000 0.000  0.65
Zn: 0.500 0.500 0.500  -0.02
Te: 0.000 0.000 0.500  0.07
N: 0.000 0.500 0.000  1.01
N: 0.500 0.000 0.000  1.01


KTl4Ag after structural relaxation, computed with PBE-GGA.

Properties
Formation enthalpy at 0 K   2.8 kcal/mol of atoms
N(E_F)   0.2692 states/eV per atom
Energy above the lowest structure with this stoichiometry   0.154 eV/atom
M_tot   0.0 Bohr magnetons per cell

Lattice parameters (Å, degrees): 6.488 6.488 6.488 60.00 60.00 60.00
Element x y z (fractional)
K: 0.000 0.000 0.000
Tl: 0.873 0.376 0.376
Tl: 0.376 0.376 0.873
Tl: 0.376 0.873 0.376
Tl: 0.376 0.376 0.376
Ag: 0.750 0.750 0.750


TlSiSe2 after structural relaxation, computed with PBE-GGA.

Properties
Formation energy from raw total energies   485 meV/atom
N(E_F)   0.3077 states/eV per atom
M_tot   0.0 Bohr magnetons per cell

Lattice parameters (Å, degrees): 5.042 5.042 5.042 60.00 60.00 60.00
Element x y z (fractional)
Se: 0.000 0.000 0.000
Se: 0.250 0.250 0.250
Si: 0.500 0.500 0.500
Tl: 0.750 0.750 0.750


CaNiP after structural relaxation, computed with PBE-GGA.

Properties
Formation enthalpy at 0 K   -18.6 kcal/mol of atoms
N(E_F)   0.7978 states/eV per atom
M_tot   0.0 Bohr magnetons per cell

Lattice parameters (Å, degrees): 3.921 5.658 5.943 93.26 108.91 110.17
Element x y z (fractional)
Ca: 0.761 0.812 0.704
Ca: 0.239 0.188 0.296
Ni: 0.855 0.580 0.134
Ni: 0.145 0.420 0.866
P: 0.470 0.762 0.182
P: 0.530 0.238 0.818


What is the M_tot in the fourth record? 0.0 Bohr magnetons per cell


M_tot of number 1 (SmTm2Ge)? 0.0 Bohr magnetons per cell